Entry 1:
Below is crystalline Er4Mg2C at its relaxed geometry, with properties calculated at the PBE level.

a b c (Å): 8.540 8.540 8.540
angles (deg): 146.62 146.62 47.92
Fractional coordinates of all 7 atoms:
Er  0.000  0.500  0.500
Er  0.153  0.153  0.000
Er  0.500  0.000  0.500
Er  0.847  0.847  0.000
Mg  0.363  0.363  0.000
Mg  0.637  0.637  0.000
C  0.000  0.000  0.000

**Calculated formation energy**: 1.43 kJ per mole of atoms

Entry 2:
Below is crystalline ErMgC at its relaxed geometry, with properties calculated at the PBE level.

a b c (Å): 9.425 9.425 9.425
angles (deg): 22.54 22.54 22.54
Fractional coordinates of all 6 atoms:
Er  0.107  0.107  0.107
Er  0.893  0.893  0.893
Mg  0.364  0.364  0.364
Mg  0.636  0.636  0.636
C  0.272  0.272  0.272
C  0.728  0.728  0.728

**Calculated formation energy**: -3.76 kJ per mole of atoms

Entry 3:
Below is crystalline Er5MgC2 at its relaxed geometry, with properties calculated at the PBE level.

a b c (Å): 8.162 8.162 8.162
angles (deg): 154.13 132.76 54.64
Fractional coordinates of all 8 atoms:
Er  0.000  0.000  0.000
Er  0.090  0.340  0.750
Er  0.410  0.660  0.750
Er  0.590  0.340  0.250
Er  0.910  0.660  0.250
Mg  0.500  0.000  0.500
C  0.184  0.184  0.000
C  0.816  0.816  0.000

**Calculated formation energy**: -7.13 kJ per mole of atoms

Entry 4:
Below is crystalline Er3MgC at its relaxed geometry, with properties calculated at the PBE level.

a b c (Å): 4.924 4.924 4.924
angles (deg): 90.00 90.00 90.00
Fractional coordinates of all 5 atoms:
Er  0.000  0.000  0.500
Er  0.000  0.500  0.000
Er  0.500  0.000  0.000
Mg  0.500  0.500  0.500
C  0.000  0.000  0.000

**Calculated formation energy**: -20.46 kJ per mole of atoms

Entry 5:
Below is crystalline Er6Mg2C at its relaxed geometry, with properties calculated at the PBE level.

a b c (Å): 6.947 6.947 6.975
angles (deg): 120.12 120.12 60.25
Fractional coordinates of all 9 atoms:
Er  0.225  0.737  0.724
Er  0.245  0.245  0.782
Er  0.263  0.775  0.276
Er  0.737  0.225  0.724
Er  0.755  0.755  0.218
Er  0.775  0.263  0.276
Mg  0.250  0.250  0.250
Mg  0.750  0.750  0.750
C  0.000  0.000  0.500

**Calculated formation energy**: -11.95 kJ per mole of atoms

Entry 6:
Below is crystalline Er8MgC4 at its relaxed geometry, with properties calculated at the PBE level.

a b c (Å): 8.975 8.975 12.067
angles (deg): 131.12 131.12 22.98
Fractional coordinates of all 13 atoms:
Er  0.042  0.042  0.229
Er  0.298  0.298  0.438
Er  0.337  0.337  0.158
Er  0.362  0.362  0.904
Er  0.638  0.638  0.096
Er  0.663  0.663  0.842
Er  0.702  0.702  0.562
Er  0.958  0.958  0.771
Mg  0.000  0.000  0.500
C  0.150  0.150  0.968
C  0.332  0.332  0.671
C  0.668  0.668  0.329
C  0.850  0.850  0.032

**Calculated formation energy**: -24.94 kJ per mole of atoms

Entry 7:
Below is crystalline ErMgMnC at its relaxed geometry, with properties calculated at the PBE level.

a b c (Å): 3.648 3.648 10.178
angles (deg): 90.00 90.00 90.00
Fractional coordinates of all 8 atoms:
Er  0.250  0.250  0.212
Er  0.750  0.750  0.788
Mg  0.250  0.750  0.500
Mg  0.750  0.250  0.500
Mn  0.250  0.750  0.000
Mn  0.750  0.250  0.000
C  0.250  0.250  0.921
C  0.750  0.750  0.079

**Calculated formation energy**: 8.34 kJ per mole of atoms

Entry 8:
Below is crystalline Er2MgOsC at its relaxed geometry, with properties calculated at the PBE level.

a b c (Å): 4.951 4.951 3.944
angles (deg): 90.00 90.00 90.00
Fractional coordinates of all 5 atoms:
Er  0.000  0.500  0.000
Er  0.500  0.000  0.000
Mg  0.000  0.000  0.500
Os  0.500  0.500  0.500
C  0.500  0.500  0.000

**Calculated formation energy**: -32.65 kJ per mole of atoms

Entry 9:
Below is crystalline Er2MgPbC at its relaxed geometry, with properties calculated at the PBE level.

a b c (Å): 4.902 4.902 4.456
angles (deg): 90.00 90.00 90.00
Fractional coordinates of all 5 atoms:
Er  0.000  0.500  0.000
Er  0.500  0.000  0.000
Mg  0.000  0.000  0.500
Pb  0.500  0.500  0.500
C  0.000  0.000  0.000

**Calculated formation energy**: -40.99 kJ per mole of atoms

Entry 10:
Below is crystalline Er2MgRuC at its relaxed geometry, with properties calculated at the PBE level.

a b c (Å): 4.959 4.959 3.947
angles (deg): 90.00 90.00 90.00
Fractional coordinates of all 5 atoms:
Er  0.000  0.500  0.000
Er  0.500  0.000  0.000
Mg  0.000  0.000  0.500
Ru  0.500  0.500  0.500
C  0.500  0.500  0.000

**Calculated formation energy**: -31.64 kJ per mole of atoms

Entry 11:
Below is crystalline Er2MgSbC at its relaxed geometry, with properties calculated at the PBE level.

a b c (Å): 4.898 4.898 4.352
angles (deg): 90.00 90.00 90.00
Fractional coordinates of all 5 atoms:
Er  0.000  0.500  0.000
Er  0.500  0.000  0.000
Mg  0.000  0.000  0.500
Sb  0.500  0.500  0.500
C  0.000  0.000  0.000

**Raw formation energy**: -557 meV/atom

Entry 12:
Below is crystalline Sm2ErMgC at its relaxed geometry, with properties calculated at the PBE level.

a b c (Å): 5.153 5.153 4.841
angles (deg): 90.00 90.00 90.00
Fractional coordinates of all 5 atoms:
Sm  0.000  0.500  0.000
Sm  0.500  0.000  0.000
Er  0.000  0.000  0.500
Mg  0.500  0.500  0.500
C  0.000  0.000  0.000

**Calculated formation energy**: -12.85 kJ per mole of atoms

Number 1: ρ 6.45 Mg/m³. Number 2: ρ 6.27 Mg/m³. Number 3: ρ 8.48 Mg/m³. Number 4: ρ 7.48 Mg/m³. Number 5: ρ 7.42 Mg/m³. Number 6: ρ 8.32 Mg/m³. Number 7: ρ 6.34 Mg/m³. Number 8: ρ 9.64 Mg/m³. Number 9: ρ 8.96 Mg/m³. Number 10: ρ 8.07 Mg/m³. Number 11: ρ 7.83 Mg/m³. Number 12: ρ 6.51 Mg/m³.